Record 1
# Dy2Tc

A relaxed Dy2Tc crystal (PBE, Alexandria via LeMat-Bulk).

a = 6.680 Å, b = 6.678 Å, c = 3.468 Å
α = 74.98°, β = 74.92°, γ = 30.10°
Fractional coordinates of all 3 atoms:
1 Dy 0.130 0.130 0.870
2 Dy 0.870 0.870 0.130
3 Tc 0.500 0.500 0.500

Calculated values
formation enthalpy at 0 K = -45 meV/atom

---

Record 2
# LaPm5Nd5

A relaxed LaPm5Nd5 crystal (PBE, Alexandria via LeMat-Bulk).

a = 6.292 Å, b = 6.292 Å, c = 11.676 Å
α = 90.00°, β = 90.00°, γ = 120.00°
Fractional coordinates of all 11 atoms:
1 La 0.000 0.000 0.000
2 Pm 0.000 0.000 0.330
3 Pm 0.000 0.000 0.670
4 Pm 0.333 0.667 0.162
5 Pm 0.333 0.667 0.838
6 Pm 0.667 0.333 0.000
7 Nd 0.007 0.503 0.500
8 Nd 0.497 0.503 0.500
9 Nd 0.497 0.993 0.500
10 Nd 0.667 0.333 0.265
11 Nd 0.667 0.333 0.735

Calculated values
relative energy among the computed polymorphs = 145 meV/atom
formation enthalpy at 0 K = 282 meV/atom

---

Record 3
# Y3Co2

A relaxed Y3Co2 crystal (PBE, Alexandria via LeMat-Bulk).

a = 9.435 Å, b = 12.247 Å, c = 3.874 Å
α = 90.00°, β = 90.00°, γ = 90.00°
Fractional coordinates of all 20 atoms:
1 Y 0.070 0.135 0.000
2 Y 0.126 0.615 0.000
3 Y 0.195 0.374 0.500
4 Y 0.305 0.874 0.000
5 Y 0.374 0.115 0.500
6 Y 0.430 0.635 0.500
7 Y 0.570 0.365 0.500
8 Y 0.626 0.885 0.500
9 Y 0.695 0.126 0.000
10 Y 0.805 0.626 0.500
11 Y 0.874 0.385 0.000
12 Y 0.930 0.865 0.000
13 Co 0.122 0.967 0.500
14 Co 0.139 0.771 0.500
15 Co 0.361 0.271 0.000
16 Co 0.378 0.467 0.000
17 Co 0.622 0.533 0.000
18 Co 0.639 0.729 0.000
19 Co 0.861 0.229 0.500
20 Co 0.878 0.033 0.500

Calculated values
relative energy among the computed polymorphs = 0 meV/atom
formation enthalpy at 0 K = -171 meV/atom

---

Record 4
# Ho2SbPb

A relaxed Ho2SbPb crystal (PBE, Alexandria via LeMat-Bulk).

a = 8.137 Å, b = 8.137 Å, c = 8.137 Å
α = 30.12°, β = 30.12°, γ = 30.12°
Fractional coordinates of all 4 atoms:
1 Ho 0.245 0.245 0.245
2 Ho 0.755 0.755 0.755
3 Sb 0.500 0.500 0.500
4 Pb 0.000 0.000 0.000

Calculated values
relative energy among the computed polymorphs = 53 meV/atom
formation energy from raw total energies = -0.73 eV/atom

---

Record 5
# Hf3MgBi

A relaxed Hf3MgBi crystal (PBE, Alexandria via LeMat-Bulk).

a = 5.048 Å, b = 5.048 Å, c = 5.048 Å
α = 90.00°, β = 90.00°, γ = 90.00°
Fractional coordinates of all 5 atoms:
1 Hf 0.000 0.000 0.500
2 Hf 0.000 0.500 0.000
3 Hf 0.500 0.000 0.000
4 Mg 0.000 0.000 0.000
5 Bi 0.500 0.500 0.500

Calculated values
relative energy among the computed polymorphs = 0 meV/atom
formation enthalpy at 0 K = 996 meV/atom

---

Record 6
# HfHgAs2Br

A relaxed HfHgAs2Br crystal (PBE, Alexandria via LeMat-Bulk).

a = 5.097 Å, b = 5.097 Å, c = 5.302 Å
α = 90.00°, β = 90.00°, γ = 90.00°
Fractional coordinates of all 5 atoms:
1 Hf 0.000 0.000 0.000
2 Hg 0.500 0.500 0.500
3 As 0.000 0.500 0.500
4 As 0.500 0.000 0.500
5 Br 0.500 0.500 0.000

Calculated values
relative energy among the computed polymorphs = 1051 meV/atom
formation energy from raw total energies = 0.97 eV/atom

---

Record 7
# Mg2ZrW

A relaxed Mg2ZrW crystal (PBE, Alexandria via LeMat-Bulk).

a = 2.962 Å, b = 4.258 Å, c = 6.341 Å
α = 90.00°, β = 90.00°, γ = 90.00°
Fractional coordinates of all 4 atoms:
1 Mg 0.000 0.000 0.000
2 Mg 0.500 0.500 0.245
3 Zr 0.500 0.500 0.712
4 W 0.000 0.000 0.495

Calculated values
relative energy among the computed polymorphs = 110 meV/atom
formation enthalpy at 0 K = 313 meV/atom

---

Record 8
# Pm2Sm4YMg

A relaxed Pm2Sm4YMg crystal (PBE, Alexandria via LeMat-Bulk).

a = 5.046 Å, b = 5.046 Å, c = 10.179 Å
α = 90.00°, β = 90.00°, γ = 90.00°
Fractional coordinates of all 8 atoms:
1 Pm 0.000 0.000 0.000
2 Pm 0.500 0.500 0.500
3 Sm 0.000 0.500 0.247
4 Sm 0.000 0.500 0.753
5 Sm 0.500 0.000 0.247
6 Sm 0.500 0.000 0.753
7 Y 0.000 0.000 0.500
8 Mg 0.500 0.500 0.000

Calculated values
formation enthalpy at 0 K = 15 meV/atom

---

Record 9
# SrRh3F

A relaxed SrRh3F crystal (PBE, Alexandria via LeMat-Bulk).

a = 5.192 Å, b = 5.192 Å, c = 5.192 Å
α = 90.00°, β = 90.00°, γ = 90.00°
Fractional coordinates of all 5 atoms:
1 Sr 0.000 0.000 0.000
2 Rh 0.000 0.000 0.500
3 Rh 0.000 0.500 0.000
4 Rh 0.500 0.000 0.000
5 F 0.500 0.500 0.500

Calculated values
relative energy among the computed polymorphs = 1462 meV/atom
formation energy from raw total energies = 1.73 eV/atom

---

Record 10
# Np2Ga2Ni15

A relaxed Np2Ga2Ni15 crystal (PBE, Alexandria via LeMat-Bulk).

a = 6.293 Å, b = 6.293 Å, c = 6.293 Å
α = 82.50°, β = 82.50°, γ = 82.50°
Fractional coordinates of all 19 atoms:
1 Np 0.150 0.150 0.150
2 Np 0.850 0.850 0.850
3 Ga 0.396 0.396 0.396
4 Ga 0.604 0.604 0.604
5 Ni 0.000 0.500 0.500
6 Ni 0.153 0.153 0.657
7 Ni 0.153 0.657 0.153
8 Ni 0.195 0.500 0.805
9 Ni 0.195 0.805 0.500
10 Ni 0.343 0.847 0.847
11 Ni 0.500 0.000 0.500
12 Ni 0.500 0.195 0.805
13 Ni 0.500 0.500 0.000
14 Ni 0.500 0.805 0.195
15 Ni 0.657 0.153 0.153
16 Ni 0.805 0.195 0.500
17 Ni 0.805 0.500 0.195
18 Ni 0.847 0.343 0.847
19 Ni 0.847 0.847 0.343

Calculated values
formation enthalpy at 0 K = -136 meV/atom

---

Record 11
# GaICl2O

A relaxed GaICl2O crystal (PBE, Alexandria via LeMat-Bulk).

a = 4.927 Å, b = 4.927 Å, c = 4.614 Å
α = 90.00°, β = 90.00°, γ = 90.00°
Fractional coordinates of all 5 atoms:
1 Ga 0.000 0.000 0.000
2 I 0.500 0.500 0.000
3 Cl 0.000 0.500 0.500
4 Cl 0.500 0.000 0.500
5 O 0.500 0.500 0.500

Calculated values
formation energy from raw total energies = 0.17 eV/atom

---

Record 12
# FeBiP2Os

A relaxed FeBiP2Os crystal (PBE, Alexandria via LeMat-Bulk).

a = 4.429 Å, b = 4.429 Å, c = 6.102 Å
α = 90.00°, β = 90.00°, γ = 90.00°
Fractional coordinates of all 5 atoms:
1 Fe 0.000 0.000 0.000
2 Bi 0.500 0.500 0.000
3 P 0.000 0.500 0.500
4 P 0.500 0.000 0.500
5 Os 0.500 0.500 0.500

Calculated values
formation enthalpy at 0 K = 867 meV/atom